TeAsSe2Cl | PBE-GGA | optimized geometry

Energy in eV for the cell shown: -12.9
M_tot in μB/atom: 0.086
Formation energy from raw total energies in eV/atom: 0.7364
V in Å³ per atom: 31.62
Excess energy over the best structure of this formula in the dataset in eV/atom: 0.000

a = 5.3218 Å, b = 5.3218 Å, c = 5.5833 Å
α = 90.00°, β = 90.00°, γ = 90.00°
Atoms (fractional coordinates):
Te1 0.0000 0.0000 0.0000
As1 0.0000 0.0000 0.5000
Se1 0.0000 0.5000 0.0000
Se2 0.5000 0.0000 0.0000
Cl1 0.5000 0.5000 0.5000